Record 1
# NaPtI2

A relaxed structure of NaPtI2 (PBE, Alexandria). Values from VASP.

Structure (Quantum ESPRESSO input):
```
&SYSTEM
  ibrav = 0, nat = 8, ntyp = 3
/
ATOMIC_SPECIES
I 126.90 I.upf
Pt 195.08 Pt.upf
Na 22.99 Na.upf
CELL_PARAMETERS angstrom
6.507 0.000 0.000
0.000 6.507 0.000
3.253 3.253 7.005
ATOMIC_POSITIONS crystal
I 0.875 0.934 0.750
I 0.684 0.125 0.250
I 0.375 0.316 0.750
I 0.066 0.625 0.250
Pt 0.750 0.250 0.500
Pt 0.000 0.000 0.000
Na 0.250 0.750 0.500
Na 0.500 0.500 0.000
```

E	-2.906	eV/atom
energy relative to the elements, uncorrected	-0.291	eV/atom
space-group type	I-42d

Record 2
# SrZnGa2Pd

A relaxed structure of SrZnGa2Pd (PBE, Alexandria). Values from VASP.

Structure (Quantum ESPRESSO input):
```
&SYSTEM
  ibrav = 0, nat = 5, ntyp = 4
/
ATOMIC_SPECIES
Ga 69.72 Ga.upf
Pd 106.42 Pd.upf
Zn 65.41 Zn.upf
Sr 87.62 Sr.upf
CELL_PARAMETERS angstrom
-3.241 3.622 0.376
-3.601 -3.263 0.388
0.543 -0.020 4.870
ATOMIC_POSITIONS crystal
Ga 0.500 0.000 0.000
Ga 0.000 0.500 0.000
Pd 0.000 0.000 0.000
Zn 0.000 0.000 0.500
Sr 0.500 0.500 0.500
```

E	-3.176	eV/atom
space-group type	P4/mmm
energy relative to the elements	-0.34	eV per atom

Record 3
# Li2Ac2AlO6

A relaxed structure of Li2Ac2AlO6 (PBE, Alexandria). Values from VASP.

Structure (Quantum ESPRESSO input):
```
&SYSTEM
  ibrav = 0, nat = 11, ntyp = 4
/
ATOMIC_SPECIES
Li 6.94 Li.upf
O 16.00 O.upf
Ac 227.00 Ac.upf
Al 26.98 Al.upf
CELL_PARAMETERS angstrom
5.626 0.000 0.000
2.813 4.872 0.000
2.813 1.624 4.850
ATOMIC_POSITIONS crystal
Li 0.567 0.567 0.299
Li 0.433 0.433 0.701
O 0.772 0.235 0.759
O 0.765 0.765 0.241
O 0.235 0.772 0.759
O 0.235 0.235 0.759
O 0.228 0.765 0.241
O 0.765 0.228 0.241
Ac 0.767 0.767 0.698
Ac 0.233 0.233 0.302
Al 0.000 0.000 0.000
```

E	-6.691	eV/atom
energy relative to the elements, uncorrected	-2.551	eV/atom
space-group type	R-3m

Record 4
# RbGa4Te7

A relaxed structure of RbGa4Te7 (PBE, Alexandria). Values from VASP.

Structure (Quantum ESPRESSO input):
```
&SYSTEM
  ibrav = 0, nat = 24, ntyp = 3
/
ATOMIC_SPECIES
Te 127.60 Te.upf
Ga 69.72 Ga.upf
Rb 85.47 Rb.upf
CELL_PARAMETERS angstrom
-5.601 2.458 3.335
-3.063 -6.411 -0.419
6.879 -4.247 14.682
ATOMIC_POSITIONS crystal
Te 0.484 0.327 0.614
Te 0.477 0.816 0.741
Te 0.984 0.673 0.114
Te 0.452 0.856 0.000
Te 0.977 0.184 0.241
Te 0.484 0.327 0.386
Te 0.977 0.184 0.759
Te 0.952 0.144 0.500
Te 0.971 0.682 0.612
Te 0.984 0.673 0.886
Te 0.477 0.816 0.259
Te 0.471 0.318 0.112
Te 0.971 0.682 0.388
Te 0.471 0.318 0.888
Ga 0.086 0.821 0.749
Ga 0.605 0.668 0.121
Ga 0.586 0.179 0.751
Ga 0.086 0.821 0.251
Ga 0.105 0.332 0.379
Ga 0.586 0.179 0.249
Ga 0.105 0.332 0.621
Ga 0.605 0.668 0.879
Rb 0.457 0.837 0.500
Rb 0.957 0.163 0.000
```

E	-3.331	eV/atom
energy relative to the elements, uncorrected	-0.408	eV/atom
space-group type	Pmn2_1